1.
Material: K3Ca3TaSe8
Method: DFT, GGA-PBE
State: relaxed

Results
DOS at the Fermi energy in states/eV/cell: 14.03
Total DFT energy (no corrections) in eV per atom: -4.528
E_form (uncorrected) in eV/atom: -1.26

Cell: 8.2869 8.2869 9.2637 Å, 116.50 116.50 60.08°
Element x y z (fractional)
1 K 0.0000 0.0000 0.0000
2 K 0.0000 0.5000 0.0000
3 K 0.5000 0.0000 0.0000
4 Ca 0.0000 0.5000 0.5000
5 Ca 0.5000 0.0000 0.5000
6 Ca 0.5000 0.5000 0.5000
7 Ta 0.0000 0.0000 0.5000
8 Se 0.2117 0.2117 0.6927
9 Se 0.2118 0.7693 0.6928
10 Se 0.2307 0.7882 0.3072
11 Se 0.2625 0.2625 0.2876
12 Se 0.7375 0.7375 0.7124
13 Se 0.7693 0.2118 0.6928
14 Se 0.7882 0.2307 0.3072
15 Se 0.7883 0.7883 0.3073

***

2.
Material: MgSb2P2Pt7
Method: DFT, GGA-PBE
State: relaxed

Results
DOS at the Fermi energy in states/eV/cell: 7.21
Total DFT energy (no corrections) in eV per atom: -5.815
E_form (uncorrected) in eV/atom: -0.57

Cell: 14.9263 14.9263 14.9263 Å, 164.94 164.94 21.35°
Element x y z (fractional)
1 Mg 0.0000 0.0000 0.0000
2 Sb 0.2112 0.2112 0.0000
3 Sb 0.7888 0.7888 0.0000
4 P 0.3837 0.3837 0.0000
5 P 0.6163 0.6163 0.0000
6 Pt 0.0716 0.5716 0.5000
7 Pt 0.3043 0.3043 0.0000
8 Pt 0.4284 0.9284 0.5000
9 Pt 0.5000 0.5000 0.0000
10 Pt 0.5716 0.0716 0.5000
11 Pt 0.6957 0.6957 0.0000
12 Pt 0.9284 0.4284 0.5000

***

3.
Material: SrTmCu2Se4
Method: DFT, GGA-PBE
State: relaxed

Results
DOS at the Fermi energy in states/eV/cell: 3.44
Total DFT energy (no corrections) in eV per atom: -4.542
E_form (uncorrected) in eV/atom: -1.01

Cell: 6.3834 6.3834 6.3834 Å, 114.10 114.04 100.62°
Element x y z (fractional)
1 Sr 0.0000 0.0000 0.0000
2 Tm 0.5000 0.5000 0.0000
3 Cu 0.2508 0.7508 0.5000
4 Cu 0.7492 0.2492 0.5000
5 Se 0.0737 0.0734 0.5596
6 Se 0.4862 0.9266 0.0003
7 Se 0.5138 0.5141 0.4404
8 Se 0.9263 0.4859 0.9997

***

4.
Material: SrLi2Mn
Method: DFT, GGA-PBE
State: relaxed

Results
Energy relative to the elements in eV per atom: 0.360
DOS at the Fermi energy in states/eV/cell: 4.34
Total DFT energy (no corrections) in eV per atom: -3.310
Energy above the most stable polymorph in this dataset in eV/atom: 0.002

Cell: 3.6742 3.6742 7.5163 Å, 90.00 90.00 90.00°
Element x y z (fractional)
1 Sr 0.0000 0.0000 0.0000
2 Li 0.0000 0.0000 0.5364
3 Li 0.5000 0.5000 0.3372
4 Mn 0.5000 0.5000 0.7103

***

5.
Material: Li7CdAu2
Method: DFT, GGA-PBE
State: relaxed

Results
Energy relative to the elements in eV per atom: -0.294
DOS at the Fermi energy in states/eV/cell: 3.14
Total DFT energy (no corrections) in eV per atom: -2.380
Energy above the most stable polymorph in this dataset in eV/atom: 0.000

Cell: 4.5196 4.5196 9.7695 Å, 90.00 90.00 120.00°
Element x y z (fractional)
1 Li 0.0000 0.0000 0.0000
2 Li 0.0000 0.0000 0.2385
3 Li 0.0000 0.0000 0.7389
4 Li 0.3333 0.6667 0.3994
5 Li 0.3333 0.6667 0.7993
6 Li 0.6667 0.3333 0.2072
7 Li 0.6667 0.3333 0.5766
8 Cd 0.6667 0.3333 0.9098
9 Au 0.0000 0.0000 0.4888
10 Au 0.3333 0.6667 0.0987

***

6.
Material: SmAg12Hg6
Method: DFT, GGA-PBE
State: relaxed

Results
Energy relative to the elements in eV per atom: 0.116
DOS at the Fermi energy in states/eV/cell: 6.93
Total DFT energy (no corrections) in eV per atom: -2.028

Cell: 7.7928 7.7928 7.7928 Å, 104.21 104.21 104.21°
Element x y z (fractional)
1 Sm 0.0000 0.0000 0.0000
2 Ag 0.1093 0.3500 0.3500
3 Ag 0.1096 0.5000 0.8904
4 Ag 0.1096 0.8904 0.5000
5 Ag 0.3500 0.1093 0.3500
6 Ag 0.3500 0.3500 0.1093
7 Ag 0.5000 0.1096 0.8904
8 Ag 0.5000 0.8904 0.1096
9 Ag 0.6500 0.6500 0.8907
10 Ag 0.6500 0.8907 0.6500
11 Ag 0.8904 0.1096 0.5000
12 Ag 0.8904 0.5000 0.1096
13 Ag 0.8907 0.6500 0.6500
14 Hg 0.2960 0.2960 0.6990
15 Hg 0.2960 0.6990 0.2960
16 Hg 0.3010 0.7040 0.7040
17 Hg 0.6990 0.2960 0.2960
18 Hg 0.7040 0.3010 0.7040
19 Hg 0.7040 0.7040 0.3010

***

7.
Material: Zr2SnB
Method: DFT, GGA-PBE
State: relaxed

Results
Energy relative to the elements in eV per atom: -0.098
DOS at the Fermi energy in states/eV/cell: 4.16
Total DFT energy (no corrections) in eV per atom: -7.043
Energy above the most stable polymorph in this dataset in eV/atom: 0.481

Cell: 5.9218 5.9218 5.9218 Å, 106.38 106.38 115.85°
Element x y z (fractional)
1 Zr 0.0645 0.1250 0.4395
2 Zr 0.3750 0.9355 0.0605
3 Zr 0.6855 0.6250 0.5605
4 Zr 0.8750 0.3145 0.9395
5 Sn 0.2500 0.7500 0.5000
6 Sn 0.5000 0.5000 0.0000
7 B 0.0000 0.0000 0.0000
8 B 0.7500 0.2500 0.5000

***

8.
Material: Tb3Nd8
Method: DFT, GGA-PBE
State: relaxed

Results
Energy relative to the elements in eV per atom: 0.455
DOS at the Fermi energy in states/eV/cell: 12.08
Total DFT energy (no corrections) in eV per atom: -4.276
Energy above the most stable polymorph in this dataset in eV/atom: 0.110

Cell: 7.3210 7.3210 7.3210 Å, 84.63 84.63 84.63°
Element x y z (fractional)
1 Tb 0.0000 0.5000 0.5000
2 Tb 0.5000 0.0000 0.5000
3 Tb 0.5000 0.5000 0.0000
4 Nd 0.1145 0.8504 0.6928
5 Nd 0.1496 0.3072 0.8855
6 Nd 0.3072 0.8855 0.1496
7 Nd 0.3850 0.3850 0.3850
8 Nd 0.6150 0.6150 0.6150
9 Nd 0.6928 0.1145 0.8504
10 Nd 0.8504 0.6928 0.1145
11 Nd 0.8855 0.1496 0.3072

***

9.
Material: PaGeSe
Method: DFT, GGA-PBE
State: relaxed

Results
DOS at the Fermi energy in states/eV/cell: 3.61
Total DFT energy (no corrections) in eV per atom: -6.283
E_form (uncorrected) in eV/atom: -0.42
Energy above the most stable polymorph in this dataset in eV/atom: 0.612

Cell: 4.6907 4.6907 3.3479 Å, 90.00 90.00 120.00°
Element x y z (fractional)
1 Pa 0.0000 0.0000 0.0000
2 Ge 0.3333 0.6667 0.5000
3 Se 0.6667 0.3333 0.5000

***

10.
Material: AlZnMo2
Method: DFT, GGA-PBE
State: relaxed

Results
Energy relative to the elements in eV per atom: 0.036
DOS at the Fermi energy in states/eV/cell: 2.21
Total DFT energy (no corrections) in eV per atom: -6.634

Cell: 2.7441 2.7441 8.7144 Å, 90.00 90.00 108.44°
Element x y z (fractional)
1 Al 0.0000 0.0000 0.0000
2 Zn 0.5000 0.5000 0.7480
3 Mo 0.0000 0.0000 0.4956
4 Mo 0.5000 0.5000 0.2439

***

11.
Material: AlAuBr2
Method: DFT, GGA-PBE
State: relaxed

Results
DOS at the Fermi energy in states/eV/cell: 1.09
Total DFT energy (no corrections) in eV per atom: -2.541
E_form (uncorrected) in eV/atom: 0.05
Energy above the most stable polymorph in this dataset in eV/atom: 0.635

Cell: 5.3062 5.3062 5.2686 Å, 115.79 115.79 97.11°
Element x y z (fractional)
1 Al 0.0000 0.0000 0.0000
2 Au 0.5000 0.5000 0.0000
3 Br 0.0000 0.5000 0.5000
4 Br 0.5000 0.0000 0.5000

***

12.
Material: SrRu2Se
Method: DFT, GGA-PBE
State: relaxed

Results
DOS at the Fermi energy in states/eV/cell: 4.20
Total DFT energy (no corrections) in eV per atom: -5.601
E_form (uncorrected) in eV/atom: 0.33

Cell: 5.6462 5.6462 5.6462 Å, 147.46 127.04 63.55°
Element x y z (fractional)
1 Sr 0.0000 0.0000 0.0000
2 Ru 0.2903 0.7903 0.5000
3 Ru 0.5172 0.5172 0.0000
4 Se 0.7204 0.2204 0.5000

***

13.
Material: Nd3Sb5Se12
Method: DFT, GGA-PBE
State: relaxed

Results
Total DFT energy (no corrections) in eV per atom: -4.565
E_form (uncorrected) in eV/atom: -0.73

Cell: 14.7997 14.7997 14.7997 Å, 109.47 109.47 109.47°
Element x y z (fractional)
1 Nd 0.1250 0.2500 0.3750
2 Nd 0.1250 0.3750 0.7500
3 Nd 0.2500 0.3750 0.1250
4 Nd 0.2500 0.8750 0.6250
5 Nd 0.3750 0.1250 0.2500
6 Nd 0.3750 0.7500 0.1250
7 Nd 0.6250 0.2500 0.8750
8 Nd 0.6250 0.8750 0.7500
9 Nd 0.7500 0.1250 0.3750
10 Nd 0.7500 0.6250 0.8750
11 Nd 0.8750 0.6250 0.2500
12 Nd 0.8750 0.7500 0.6250
13 Sb 0.0000 0.0000 0.0000
14 Sb 0.0000 0.0000 0.5000
15 Sb 0.0000 0.5000 0.0000
16 Sb 0.0000 0.5000 0.5000
17 Sb 0.1250 0.7500 0.8750
18 Sb 0.1250 0.8750 0.2500
19 Sb 0.2500 0.1250 0.8750
20 Sb 0.2500 0.6250 0.3750
21 Sb 0.3750 0.2500 0.6250
22 Sb 0.3750 0.6250 0.7500
23 Sb 0.5000 0.0000 0.0000
24 Sb 0.5000 0.0000 0.5000
25 Sb 0.5000 0.5000 0.0000
26 Sb 0.5000 0.5000 0.5000
27 Sb 0.6250 0.3750 0.2500
28 Sb 0.6250 0.7500 0.3750
29 Sb 0.7500 0.3750 0.6250
30 Sb 0.7500 0.8750 0.1250
31 Sb 0.8750 0.1250 0.7500
32 Sb 0.8750 0.2500 0.1250
33 Se 0.0507 0.2203 0.1363
34 Se 0.0507 0.3304 0.9144
35 Se 0.0840 0.7203 0.6696
36 Se 0.0840 0.8637 0.4144
37 Se 0.0856 0.6363 0.4160
38 Se 0.0856 0.9493 0.6696
39 Se 0.1363 0.0507 0.2203
40 Se 0.1363 0.5856 0.9160
41 Se 0.1696 0.2203 0.5840
42 Se 0.1696 0.4493 0.5856
43 Se 0.2203 0.1363 0.0507
44 Se 0.2203 0.5840 0.1696
45 Se 0.2797 0.3304 0.9160
46 Se 0.2797 0.4493 0.3637
47 Se 0.3304 0.9144 0.0507
48 Se 0.3304 0.9160 0.2797
49 Se 0.3637 0.2797 0.4493
50 Se 0.3637 0.5840 0.9144
51 Se 0.4144 0.0840 0.8637
52 Se 0.4144 0.8304 0.5507
53 Se 0.4160 0.0856 0.6363
54 Se 0.4160 0.8304 0.7797
55 Se 0.4493 0.3637 0.2797
56 Se 0.4493 0.5856 0.1696
57 Se 0.5507 0.4144 0.8304
58 Se 0.5507 0.6363 0.7203
59 Se 0.5840 0.1696 0.2203
60 Se 0.5840 0.9144 0.3637
61 Se 0.5856 0.1696 0.4493
62 Se 0.5856 0.9160 0.1363
63 Se 0.6363 0.4160 0.0856
64 Se 0.6363 0.7203 0.5507
65 Se 0.6696 0.0840 0.7203
66 Se 0.6696 0.0856 0.9493
67 Se 0.7203 0.5507 0.6363
68 Se 0.7203 0.6696 0.0840
69 Se 0.7797 0.4160 0.8304
70 Se 0.7797 0.8637 0.9493
71 Se 0.8304 0.5507 0.4144
72 Se 0.8304 0.7797 0.4160
73 Se 0.8637 0.4144 0.0840
74 Se 0.8637 0.9493 0.7797
75 Se 0.9144 0.0507 0.3304
76 Se 0.9144 0.3637 0.5840
77 Se 0.9160 0.1363 0.5856
78 Se 0.9160 0.2797 0.3304
79 Se 0.9493 0.6696 0.0856
80 Se 0.9493 0.7797 0.8637

***

14.
Material: Na3ZrCr2S6
Method: DFT, GGA-PBE
State: relaxed

Results
DOS at the Fermi energy in states/eV/cell: 3.99
Total DFT energy (no corrections) in eV per atom: -5.808
E_form (uncorrected) in eV/atom: -1.10

Cell: 6.2194 6.2194 6.9928 Å, 98.55 98.55 120.01°
Element x y z (fractional)
1 Na 0.0000 0.0000 0.0000
2 Na 0.3373 0.6627 0.0000
3 Na 0.6627 0.3373 0.0000
4 Zr 0.5000 0.5000 0.5000
5 Cr 0.1671 0.8329 0.5000
6 Cr 0.8329 0.1671 0.5000
7 S 0.0781 0.4303 0.2917
8 S 0.2173 0.2173 0.7082
9 S 0.4303 0.0781 0.2917
10 S 0.5697 0.9219 0.7083
11 S 0.7827 0.7827 0.2918
12 S 0.9219 0.5697 0.7083

***

15.
Material: ScTcNiRu
Method: DFT, GGA-PBE
State: relaxed

Results
Energy relative to the elements in eV per atom: -0.087
DOS at the Fermi energy in states/eV/cell: 6.41
Total DFT energy (no corrections) in eV per atom: -8.026

Cell: 4.3748 4.3748 4.3748 Å, 60.00 60.00 60.00°
Element x y z (fractional)
1 Sc 0.0000 0.0000 0.0000
2 Tc 0.5000 0.5000 0.5000
3 Ni 0.7500 0.7500 0.7500
4 Ru 0.2500 0.2500 0.2500

***

16.
Material: Pr5ReN8
Method: DFT, GGA-PBE
State: relaxed

Results
DOS at the Fermi energy in states/eV/cell: 9.02
Total DFT energy (no corrections) in eV per atom: -8.028
E_form (uncorrected) in eV/atom: -0.67

Cell: 7.1154 7.1154 7.1154 Å, 119.94 119.94 90.10°
Element x y z (fractional)
1 Pr 0.0000 0.0000 0.0000
2 Pr 0.3585 0.1159 0.7301
3 Pr 0.3716 0.6415 0.7574
4 Pr 0.3858 0.6284 0.2699
5 Pr 0.8841 0.6142 0.2426
6 Re 0.7500 0.2500 0.5000
7 N 0.0694 0.3584 0.7147
8 N 0.1304 0.8618 0.7167
9 N 0.1382 0.8549 0.2686
10 N 0.1451 0.4137 0.2833
11 N 0.5863 0.8696 0.7314
12 N 0.6416 0.3563 0.7110
13 N 0.6437 0.3547 0.2853
14 N 0.6453 0.9306 0.2890

***

17.
Material: Zn4GaAg
Method: DFT, GGA-PBE
State: relaxed

Results
Energy relative to the elements in eV per atom: 0.020
DOS at the Fermi energy in states/eV/cell: 1.03
Total DFT energy (no corrections) in eV per atom: -1.809
Energy above the most stable polymorph in this dataset in eV/atom: 0.000

Cell: 4.6806 4.6806 5.1050 Å, 93.56 93.56 117.76°
Element x y z (fractional)
1 Zn 0.1658 0.8342 0.0000
2 Zn 0.3335 0.6665 0.5000
3 Zn 0.6665 0.3335 0.5000
4 Zn 0.8342 0.1658 0.0000
5 Ga 0.0000 0.0000 0.5000
6 Ag 0.5000 0.5000 0.0000

***

18.
Material: Tb2SmSe4
Method: DFT, GGA-PBE
State: relaxed

Results
DOS at the Fermi energy in states/eV/cell: 2.67
Total DFT energy (no corrections) in eV per atom: -5.826
E_form (uncorrected) in eV/atom: -1.84
Energy above the most stable polymorph in this dataset in eV/atom: 0.021

Cell: 7.9616 7.9616 7.1850 Å, 115.29 115.29 30.13°
Element x y z (fractional)
1 Tb 0.2345 0.2345 0.2257
2 Tb 0.7655 0.7655 0.7743
3 Sm 0.5000 0.5000 0.5000
4 Se 0.1375 0.1375 0.4930
5 Se 0.3738 0.3738 0.0523
6 Se 0.6262 0.6262 0.9477
7 Se 0.8625 0.8625 0.5070

***

19.
Material: LaAgAs2
Method: DFT, GGA-PBE
State: relaxed

Results
Energy relative to the elements in eV per atom: -0.616
DOS at the Fermi energy in states/eV/cell: 1.66
Total DFT energy (no corrections) in eV per atom: -4.886

Cell: 4.6906 4.6906 4.1927 Å, 90.00 90.00 90.00°
Element x y z (fractional)
1 La 0.0000 0.0000 0.0000
2 Ag 0.5000 0.5000 0.1260
3 As 0.0000 0.5000 0.4995
4 As 0.5000 0.0000 0.4995

***

20.
Material: GeAs3Au
Method: DFT, GGA-PBE
State: relaxed

Results
Energy relative to the elements in eV per atom: 0.903
DOS at the Fermi energy in states/eV/cell: 5.42
Total DFT energy (no corrections) in eV per atom: -3.466
Energy above the most stable polymorph in this dataset in eV/atom: 0.000

Cell: 5.0456 5.0456 5.0456 Å, 90.00 90.00 90.00°
Element x y z (fractional)
1 Ge 0.0000 0.0000 0.0000
2 As 0.0000 0.5000 0.5000
3 As 0.5000 0.0000 0.5000
4 As 0.5000 0.5000 0.0000
5 Au 0.5000 0.5000 0.5000

***

21.
Material: FePS2
Method: DFT, GGA-PBE
State: relaxed

Results
DOS at the Fermi energy in states/eV/cell: 6.54
Total DFT energy (no corrections) in eV per atom: -5.314
E_form (uncorrected) in eV/atom: 0.22

Cell: 6.3001 6.3001 6.3001 Å, 129.88 129.88 73.59°
Element x y z (fractional)
1 Fe 0.0000 0.0000 0.0000
2 Fe 0.7500 0.2500 0.5000
3 P 0.2500 0.7500 0.5000
4 P 0.5000 0.5000 0.0000
5 S 0.0826 0.6250 0.9576
6 S 0.3750 0.3326 0.4576
7 S 0.6674 0.1250 0.0424
8 S 0.8750 0.9174 0.5424

***

In the order shown, the computed calculated volume values come out to 472.5, 224.4, 196.7, 101.5, 172.8, 420.6, 158.4, 387.5, 63.8, 62.2, 110.9, 76.5, 2495.4, 223.6, 59.2, 255.0, 98.2, 205.0, 92.2, 128.4, 143.7 Å³/cell.
In the order shown, the computed total magnetic moment values come out to 0.0, 0.0, 0.0, 3.6, 0.0, 0.0, 0.0, 0.0, 0.0, 0.0, 0.0, 0.0, 0.0, 5.2, 0.0, 2.0, 0.0, 0.0, 0.0, 0.0, 1.1 μB per formula unit.